Computed, not measured: ErVO4 after structural relaxation at the GGA-PBEsol level of DFT.

The space group is I4_1/amd (No. 141, origin choice 2) and the conventional cell measures 7.049, 7.049 and 6.200 Å, with angles of 90.00, 90.00 and 90.00 degrees. The asymmetric unit holds Er at (0.000, 0.250, 0.375), V at (0.000, 0.250, 0.875) and O at (0.000, 0.064, 0.698).

The final energy is -215.82 eV per cell. The total magnetic moment comes out at 0.00 μB/f.u.

---

Computed, not measured: Y3Si2Ni2 after structural relaxation at the GGA-PBEsol level of DFT.

The space group is Immm (No. 71) and the conventional cell measures 4.017, 4.050 and 16.750 Å, with angles of 90.00, 90.00 and 90.00 degrees. The asymmetric unit holds Y at (0.000, 0.000, 0.000), Y at (0.000, 0.500, 0.319), Si at (0.000, 0.500, 0.138) and Ni at (0.000, 0.000, 0.431).

The final energy is -98.82 eV per cell. The total magnetic moment comes out at 0.00 μB/f.u.

---

Computed, not measured: TaCo4Os after structural relaxation at the GGA-PBEsol level of DFT.

The space group is F-43m (No. 216) and the conventional cell measures 6.544, 6.544 and 6.544 Å, with angles of 90.00, 90.00 and 90.00 degrees. The asymmetric unit holds Ta at (0.000, 0.000, 0.000), Co at (0.124, 0.124, 0.624) and Os at (0.250, 0.250, 0.250).

The calculation puts the formation energy at -123 meV per atom. The final energy is -225.82 eV per cell. The total magnetic moment comes out at 3.18 μB/f.u.

---

Computed, not measured: ZrPSe2N after structural relaxation at the GGA-PBEsol level of DFT.

The space group is P4/mmm (No. 123) and the conventional cell measures 5.239, 5.239 and 3.865 Å, with angles of 90.00, 90.00 and 90.00 degrees. The asymmetric unit holds Zr at (0.000, 0.000, 0.000), P at (0.500, 0.500, 0.500), Se at (0.000, 0.500, 0.000) and N at (0.000, 0.000, 0.500).

The final energy is -29.41 eV per cell. The total magnetic moment comes out at 0.07 μB/f.u.

---

Computed, not measured: LiLaIF2 after structural relaxation at the GGA-PBEsol level of DFT.

The space group is P4/mmm (No. 123) and the conventional cell measures 4.562, 4.562 and 6.763 Å, with angles of 90.00, 90.00 and 90.00 degrees. The asymmetric unit holds Li at (0.000, 0.000, 0.000), La at (0.500, 0.500, 0.500), I at (0.500, 0.500, 0.000) and F at (0.000, 0.500, 0.500).

The final energy is -24.64 eV per cell. The total magnetic moment comes out at 0.79 μB/f.u.

---

Computed, not measured: Mg2HgSe after structural relaxation at the GGA-PBEsol level of DFT.

The space group is I-42d (No. 122) and the conventional cell measures 7.303, 7.303 and 6.936 Å, with angles of 90.00, 90.00 and 90.00 degrees. The asymmetric unit holds Mg at (0.223, 0.750, 0.125), Hg at (0.000, 0.000, 0.500) and Se at (0.000, 0.000, 0.000).

The energy above the most stable polymorph in this dataset comes out at 0.0933 eV/atom. The final energy is -39.38 eV per cell. The total magnetic moment comes out at 0.00 μB/f.u.

---

Computed, not measured: BaZn2Si2O7 after structural relaxation at the GGA-PBEsol level of DFT.

The space group is Cmcm (No. 63) and the conventional cell measures 12.963, 7.903 and 6.595 Å, with angles of 90.00, 90.00 and 90.00 degrees. The asymmetric unit holds Ba at (0.000, 0.226, 0.250), Zn at (0.224, 0.500, 0.000), Si at (0.119, 0.205, 0.750), O at (0.000, 0.119, 0.750), O at (0.132, 0.310, 0.542) and O at (0.193, 0.033, 0.750).

The final energy is -331.98 eV per cell. The total magnetic moment comes out at 0.00 μB/f.u.

---

Computed, not measured: Cr2NiOs after structural relaxation at the GGA-PBEsol level of DFT.

The space group is Pmmm (No. 47) and the conventional cell measures 2.586, 3.618 and 5.053 Å, with angles of 90.00, 90.00 and 90.00 degrees. The asymmetric unit holds Cr at (0.000, 0.000, 0.240), Ni at (0.500, 0.500, 0.000) and Os at (0.500, 0.500, 0.500).

The calculation puts the formation energy at 101 meV per atom. The final energy is -38.45 eV per cell. The total magnetic moment comes out at 0.00 μB/f.u.

---

Computed, not measured: Mn2CoHg after structural relaxation at the GGA-PBEsol level of DFT.

The space group is I4/mmm (No. 139) and the conventional cell measures 3.955, 3.955 and 7.155 Å, with angles of 90.00, 90.00 and 90.00 degrees. The asymmetric unit holds Mn at (0.000, 0.500, 0.250), Co at (0.000, 0.000, 0.000) and Hg at (0.000, 0.000, 0.500).

The calculation puts the formation energy at 370 meV per atom. The final energy is -52.69 eV per cell. The total magnetic moment comes out at 8.28 μB/f.u.

---

Computed, not measured: Mg2InCu after structural relaxation at the GGA-PBEsol level of DFT.

The space group is Pm (No. 6) and the conventional cell measures 3.228, 4.397 and 5.557 Å, with angles of 90.00, 105.74 and 90.00 degrees. The asymmetric unit holds Mg at (0.000, 0.000, 0.000), Mg at (0.323, 0.500, 0.670), In at (0.720, 0.000, 0.455) and Cu at (0.586, 0.500, 0.178).

The calculation puts the formation energy at -42 meV per atom. The final energy is -10.92 eV per cell. The total magnetic moment comes out at 0.00 μB/f.u.

---

Computed, not measured: Mg2TaW after structural relaxation at the GGA-PBEsol level of DFT.

The space group is P4/mmm (No. 123) and the conventional cell measures 3.552, 3.552 and 5.530 Å, with angles of 90.00, 90.00 and 90.00 degrees. The asymmetric unit holds Mg at (0.000, 0.000, 0.242), Ta at (0.500, 0.500, 0.500) and W at (0.500, 0.500, 0.000).

The calculation puts the formation energy at 829 meV per atom. The final energy is -26.48 eV per cell. The total magnetic moment comes out at 0.00 μB/f.u.

---

Computed, not measured: SiTcOs after structural relaxation at the GGA-PBEsol level of DFT.

The space group is I4mm (No. 107) and the conventional cell measures 2.882, 2.882 and 9.433 Å, with angles of 90.00, 90.00 and 90.00 degrees. The asymmetric unit holds Si at (0.000, 0.000, 0.000), Tc at (0.000, 0.000, 0.655) and Os at (0.000, 0.000, 0.347).

The final energy is -60.38 eV per cell. The total magnetic moment comes out at 0.00 μB/f.u.